# Li3Mg2Sn

Li3Mg2Sn after structural relaxation (GGA-PBE, the Alexandria database).

Cell lengths 10.511, 10.511, 8.720 Å; angles 109.35, 109.35, 17.21 degrees
Element x y z (fractional)
Li1 0.060 0.060 0.453
Li2 0.210 0.210 0.753
Li3 0.427 0.427 0.214
Li4 0.573 0.573 0.786
Li5 0.790 0.790 0.247
Li6 0.940 0.940 0.547
Mg1 0.189 0.189 0.388
Mg2 0.435 0.435 0.851
Mg3 0.565 0.565 0.149
Mg4 0.811 0.811 0.612
Sn1 0.170 0.170 0.036
Sn2 0.830 0.830 0.964

Calculated formation energy ... -0.082 eV/atom
DFT total energy ... -26.848 eV per cell
Magnetic moment ... 0.0000 μB/atom